(1)
{
  "formula": "Ac12Co5Hg",
  "functional": "GGA-PBE",
  "state": "optimized geometry",
  "delta_e_f_kcal_per_mol_atoms": -0.684,
  "sg": "C2/m, No. 12",
  "final_energy_ha_per_atom": -0.1749,
  "dos_at_fermi_per_ev_fu": 18.2,
  "lattice": [[3.650, -6.574, 0.000], [3.650, 6.574, 0.000], [-0.239, 0.000, 13.652]],
  "species": ["Ac", "Ac", "Ac", "Ac", "Ac", "Ac", "Ac", "Ac", "Ac", "Ac", "Ac", "Ac", "Co", "Co", "Co", "Co", "Co", "Hg"],
  "fractional_positions": [[0.005, 0.673, 0.610], [0.122, 0.122, 0.125], [0.131, 0.507, 0.879], [0.327, 0.995, 0.390], [0.340, 0.340, 0.614], [0.493, 0.869, 0.121], [0.507, 0.131, 0.879], [0.660, 0.660, 0.386], [0.673, 0.005, 0.610], [0.869, 0.493, 0.121], [0.878, 0.878, 0.875], [0.995, 0.327, 0.390], [0.000, 0.000, 0.500], [0.164, 0.836, 0.000], [0.334, 0.666, 0.500], [0.666, 0.334, 0.500], [0.836, 0.164, 0.000], [0.500, 0.500, 0.000]]
}

=====

(2)
{
  "formula": "Ac12CoHg6",
  "functional": "GGA-PBE",
  "state": "optimized geometry",
  "delta_e_f_kcal_per_mol_atoms": -5.157,
  "sg": "R-3, No. 148",
  "final_energy_ha_per_atom": -0.1208,
  "dos_at_fermi_per_ev_fu": 26.3,
  "lattice": [[6.547, 3.780, 4.842], [-6.547, 3.780, 4.842], [0.000, -7.559, 4.842]],
  "species": ["Ac", "Ac", "Ac", "Ac", "Ac", "Ac", "Ac", "Ac", "Ac", "Ac", "Ac", "Ac", "Co", "Hg", "Hg", "Hg", "Hg", "Hg", "Hg"],
  "fractional_positions": [[0.038, 0.695, 0.922], [0.078, 0.962, 0.305], [0.196, 0.546, 0.418], [0.305, 0.078, 0.962], [0.418, 0.196, 0.546], [0.454, 0.582, 0.804], [0.546, 0.418, 0.196], [0.582, 0.804, 0.454], [0.695, 0.922, 0.038], [0.804, 0.454, 0.582], [0.922, 0.038, 0.695], [0.962, 0.305, 0.078], [0.000, 0.000, 0.000], [0.144, 0.357, 0.738], [0.262, 0.856, 0.643], [0.357, 0.738, 0.144], [0.643, 0.262, 0.856], [0.738, 0.144, 0.357], [0.856, 0.643, 0.262]]
}

=====

(3)
{
  "formula": "Ac2CoHg",
  "functional": "GGA-PBE",
  "state": "optimized geometry",
  "de_polymorph_mev_per_atom": 136,
  "delta_e_f_kcal_per_mol_atoms": -1.231,
  "sg": "Fm-3m, No. 225",
  "final_energy_ha_per_atom": -0.1455,
  "dos_at_fermi_per_ev_fu": 3.8,
  "lattice": [[0.000, 3.886, 3.886], [3.886, 0.000, 3.886], [3.886, 3.886, 0.000]],
  "species": ["Ac", "Ac", "Co", "Hg"],
  "fractional_positions": [[0.250, 0.250, 0.250], [0.750, 0.750, 0.750], [0.000, 0.000, 0.000], [0.500, 0.500, 0.500]]
}